DFT (PBE+U) results for a geometry-optimized PmNd2MoO8 structure.

Calculated values
The space-group type is Cmmm, No. 65. The value obtained for the total energy is -7.635 eV/atom.

```
PmNd2MoO8
1.0
3.675 -3.705 0.000
3.675 3.705 0.000
0.000 0.000 7.034
Pm Nd Mo O
1 2 1 8
Direct
0.000 0.000 0.000
0.500 0.500 0.253
0.500 0.500 0.747
0.000 0.000 0.500
0.178 0.822 0.294
0.178 0.822 0.706
0.265 0.265 0.500
0.308 0.308 0.000
0.692 0.692 0.000
0.735 0.735 0.500
0.822 0.178 0.294
0.822 0.178 0.706
```